# 1
# CaBe2Sb | Alexandria | GGA-PBE | optimized geometry
data_CaBe2Sb
_cell_length_a 3.881
_cell_length_b 3.835
_cell_length_c 5.492
_cell_angle_alpha 72.32
_cell_angle_beta 90.00
_cell_angle_gamma 90.00
_symmetry_space_group_name_H-M 'P 1'
_symmetry_Int_Tables_number 1
loop_
_symmetry_equiv_pos_as_xyz
'x,y,z'
loop_
_atom_site_label
_atom_site_fract_x
_atom_site_fract_y
_atom_site_fract_z
_atom_site_occupancy
Sb1 0.500 0.741 0.869 1
Be1 0.500 0.105 0.173 1
Ca1 0.000 0.485 0.438 1
Be2 0.000 0.168 0.019 1
# - energy relative to the elements, uncorrected (eV per atom) = 0.05
# - total magnetic moment (μB/f.u.) = 0.0
# - SG = Pm
# - calculated volume (Å³ per atom) = 19.47

***

# 2
# CaBeSb | Alexandria | GGA-PBE | optimized geometry
data_CaBeSb
_cell_length_a 5.994
_cell_length_b 5.884
_cell_length_c 3.594
_cell_angle_alpha 74.07
_cell_angle_beta 70.73
_cell_angle_gamma 35.20
_symmetry_space_group_name_H-M 'P 1'
_symmetry_Int_Tables_number 1
loop_
_symmetry_equiv_pos_as_xyz
'x,y,z'
loop_
_atom_site_label
_atom_site_fract_x
_atom_site_fract_y
_atom_site_fract_z
_atom_site_occupancy
Sb1 0.629 0.629 0.371 1
Be1 0.034 0.034 0.966 1
Ca1 0.337 0.337 0.663 1
# - energy relative to the elements, uncorrected (eV per atom) = -0.01
# - total magnetic moment (μB/f.u.) = 0.0
# - SG = Fmm2
# - calculated volume (Å³ per atom) = 22.99

***

# 3
# CaBeSb2 | Alexandria | GGA-PBE | optimized geometry
data_CaBeSb2
_cell_length_a 5.624
_cell_length_b 5.624
_cell_length_c 5.624
_cell_angle_alpha 139.65
_cell_angle_beta 116.65
_cell_angle_gamma 77.84
_symmetry_space_group_name_H-M 'P 1'
_symmetry_Int_Tables_number 1
loop_
_symmetry_equiv_pos_as_xyz
'x,y,z'
loop_
_atom_site_label
_atom_site_fract_x
_atom_site_fract_y
_atom_site_fract_z
_atom_site_occupancy
Ca1 0.250 0.750 0.500 1
Sb1 0.939 0.939 0.000 1
Sb2 0.561 0.561 0.000 1
Be1 0.750 0.250 0.500 1
# - energy relative to the elements, uncorrected (eV per atom) = -0.08
# - total magnetic moment (μB/f.u.) = 0.0
# - SG = Immm
# - calculated volume (Å³ per atom) = 25.06

***

# 4
# CaBeSb2 | Alexandria | GGA-PBE | optimized geometry
data_CaBeSb2
_cell_length_a 3.897
_cell_length_b 4.462
_cell_length_c 6.408
_cell_angle_alpha 88.89
_cell_angle_beta 90.00
_cell_angle_gamma 90.00
_symmetry_space_group_name_H-M 'P 1'
_symmetry_Int_Tables_number 1
loop_
_symmetry_equiv_pos_as_xyz
'x,y,z'
loop_
_atom_site_label
_atom_site_fract_x
_atom_site_fract_y
_atom_site_fract_z
_atom_site_occupancy
Be1 0.500 0.250 0.250 1
Ca1 0.500 0.750 0.750 1
Sb1 0.000 0.245 0.004 1
Sb2 0.000 0.255 0.496 1
# - energy relative to the elements, uncorrected (eV per atom) = -0.17
# - total magnetic moment (μB/f.u.) = 0.0
# - SG = P2/m
# - calculated volume (Å³ per atom) = 27.85

***

# 5
# CaBe2Sb | Alexandria | GGA-PBE | optimized geometry
data_CaBe2Sb
_cell_length_a 7.565
_cell_length_b 7.565
_cell_length_c 6.132
_cell_angle_alpha 51.91
_cell_angle_beta 51.91
_cell_angle_gamma 90.00
_symmetry_space_group_name_H-M 'P 1'
_symmetry_Int_Tables_number 1
loop_
_symmetry_equiv_pos_as_xyz
'x,y,z'
loop_
_atom_site_label
_atom_site_fract_x
_atom_site_fract_y
_atom_site_fract_z
_atom_site_occupancy
Sb1 0.000 0.000 0.000 1
Ca1 0.250 0.750 0.500 1
Ca2 0.500 0.500 0.000 1
Be1 0.062 0.625 0.250 1
Be2 0.375 0.312 0.750 1
Be3 0.875 0.938 0.750 1
Be4 0.688 0.125 0.250 1
Sb2 0.750 0.250 0.500 1
# - energy relative to the elements, uncorrected (eV per atom) = 0.37
# - total magnetic moment (μB/f.u.) = 0.0
# - SG = I-42d
# - calculated volume (Å³ per atom) = 21.45

***

# 6
# CaBe2SbSe | Alexandria | GGA-PBE | optimized geometry
data_CaBe2SbSe
_cell_length_a 4.470
_cell_length_b 6.567
_cell_length_c 4.470
_cell_angle_alpha 90.00
_cell_angle_beta 90.00
_cell_angle_gamma 90.00
_symmetry_space_group_name_H-M 'P 1'
_symmetry_Int_Tables_number 1
loop_
_symmetry_equiv_pos_as_xyz
'x,y,z'
loop_
_atom_site_label
_atom_site_fract_x
_atom_site_fract_y
_atom_site_fract_z
_atom_site_occupancy
Be1 0.500 0.000 0.000 1
Se1 0.500 0.500 0.500 1
Be2 0.000 0.000 0.500 1
Sb1 0.000 0.000 0.000 1
Ca1 0.000 0.500 0.000 1
# - energy relative to the elements, uncorrected (eV per atom) = 0.18
# - total magnetic moment (μB/f.u.) = 0.0
# - SG = P4/mmm
# - calculated volume (Å³ per atom) = 26.25

***

# 7
# CaBeSiSb2 | Alexandria | GGA-PBE | optimized geometry
data_CaBeSiSb2
_cell_length_a 5.237
_cell_length_b 4.303
_cell_length_c 5.237
_cell_angle_alpha 90.00
_cell_angle_beta 90.00
_cell_angle_gamma 90.00
_symmetry_space_group_name_H-M 'P 1'
_symmetry_Int_Tables_number 1
loop_
_symmetry_equiv_pos_as_xyz
'x,y,z'
loop_
_atom_site_label
_atom_site_fract_x
_atom_site_fract_y
_atom_site_fract_z
_atom_site_occupancy
Be1 0.000 0.000 0.000 1
Sb1 0.000 0.000 0.500 1
Si1 0.000 0.500 0.000 1
Ca1 0.500 0.500 0.500 1
Sb2 0.500 0.000 0.000 1
# - energy relative to the elements, uncorrected (eV per atom) = 0.10
# - total magnetic moment (μB/f.u.) = 0.0
# - SG = P4/mmm
# - calculated volume (Å³ per atom) = 23.60

***

# 8
# CaBe2SnSb | Alexandria | GGA-PBE | optimized geometry
data_CaBe2SnSb
_cell_length_a 4.585
_cell_length_b 6.156
_cell_length_c 4.585
_cell_angle_alpha 90.00
_cell_angle_beta 90.00
_cell_angle_gamma 90.00
_symmetry_space_group_name_H-M 'P 1'
_symmetry_Int_Tables_number 1
loop_
_symmetry_equiv_pos_as_xyz
'x,y,z'
loop_
_atom_site_label
_atom_site_fract_x
_atom_site_fract_y
_atom_site_fract_z
_atom_site_occupancy
Ca1 0.000 0.500 0.000 1
Be1 0.000 0.000 0.500 1
Sb1 0.500 0.500 0.500 1
Sn1 0.000 0.000 0.000 1
Be2 0.500 0.000 0.000 1
# - energy relative to the elements, uncorrected (eV per atom) = 0.49
# - total magnetic moment (μB/f.u.) = 0.0
# - SG = P4/mmm
# - calculated volume (Å³ per atom) = 25.88

***

# 9
# CaBeSb2Te | Alexandria | GGA-PBE | optimized geometry
data_CaBeSb2Te
_cell_length_a 4.848
_cell_length_b 4.848
_cell_length_c 5.753
_cell_angle_alpha 90.00
_cell_angle_beta 90.00
_cell_angle_gamma 90.00
_symmetry_space_group_name_H-M 'P 1'
_symmetry_Int_Tables_number 1
loop_
_symmetry_equiv_pos_as_xyz
'x,y,z'
loop_
_atom_site_label
_atom_site_fract_x
_atom_site_fract_y
_atom_site_fract_z
_atom_site_occupancy
Sb1 0.500 0.000 0.000 1
Te1 0.000 0.000 0.500 1
Ca1 0.500 0.500 0.500 1
Sb2 0.000 0.500 0.000 1
Be1 0.000 0.000 0.000 1
# - energy relative to the elements, uncorrected (eV per atom) = -0.06
# - total magnetic moment (μB/f.u.) = 0.0
# - SG = P4/mmm
# - calculated volume (Å³ per atom) = 27.04

***

# 10
# CaBeSb2Te | Alexandria | GGA-PBE | optimized geometry
data_CaBeSb2Te
_cell_length_a 5.783
_cell_length_b 5.783
_cell_length_c 5.679
_cell_angle_alpha 90.00
_cell_angle_beta 90.00
_cell_angle_gamma 90.00
_symmetry_space_group_name_H-M 'P 1'
_symmetry_Int_Tables_number 1
loop_
_symmetry_equiv_pos_as_xyz
'x,y,z'
loop_
_atom_site_label
_atom_site_fract_x
_atom_site_fract_y
_atom_site_fract_z
_atom_site_occupancy
Sb1 0.500 0.000 0.000 1
Sb2 0.000 0.500 0.000 1
Ca1 0.000 0.000 0.000 1
Te1 0.000 0.000 0.500 1
Be1 0.500 0.500 0.500 1
# - energy relative to the elements, uncorrected (eV per atom) = 0.98
# - total magnetic moment (μB/f.u.) = 0.0
# - SG = P4/mmm
# - calculated volume (Å³ per atom) = 37.98

***

# 11
# CaBeTl2Sb | Alexandria | GGA-PBE | optimized geometry
data_CaBeTl2Sb
_cell_length_a 5.871
_cell_length_b 5.236
_cell_length_c 5.871
_cell_angle_alpha 90.00
_cell_angle_beta 90.00
_cell_angle_gamma 90.00
_symmetry_space_group_name_H-M 'P 1'
_symmetry_Int_Tables_number 1
loop_
_symmetry_equiv_pos_as_xyz
'x,y,z'
loop_
_atom_site_label
_atom_site_fract_x
_atom_site_fract_y
_atom_site_fract_z
_atom_site_occupancy
Ca1 0.000 0.000 0.000 1
Be1 0.000 0.500 0.000 1
Sb1 0.500 0.500 0.500 1
Tl1 0.000 0.000 0.500 1
Tl2 0.500 0.000 0.000 1
# - energy relative to the elements, uncorrected (eV per atom) = 0.96
# - total magnetic moment (μB/f.u.) = 0.0
# - SG = P4/mmm
# - calculated volume (Å³ per atom) = 36.09

***

# 12
# CaSc2Be | Alexandria | GGA-PBE | optimized geometry
data_CaSc2Be
_cell_length_a 5.449
_cell_length_b 5.449
_cell_length_c 5.449
_cell_angle_alpha 130.80
_cell_angle_beta 130.80
_cell_angle_gamma 72.13
_symmetry_space_group_name_H-M 'P 1'
_symmetry_Int_Tables_number 1
loop_
_symmetry_equiv_pos_as_xyz
'x,y,z'
loop_
_atom_site_label
_atom_site_fract_x
_atom_site_fract_y
_atom_site_fract_z
_atom_site_occupancy
Ca1 0.750 0.250 0.500 1
Sc1 0.250 0.750 0.500 1
Sc2 0.000 0.000 0.000 1
Be1 0.500 0.500 0.000 1
# - total magnetic moment (μB/f.u.) = 0.0
# - SG = I-4m2
# - calculated volume (Å³ per atom) = 22.66
# - ΔH_f (0 K) (meV/atom) = 399